V5CoO12 | PBE with a Hubbard U | optimized geometry

```
V5CoO12
1.0
5.0738 -4.5580 0.0000
5.0738 4.5580 0.0000
-2.0449 0.0000 5.4853
V Co O
5 1 12
Direct
0.0000 0.0000 0.0000
0.2884 0.3048 0.5018
0.4729 0.1222 0.0049
0.6952 0.7116 0.4982
0.8778 0.5271 0.9951
0.1704 0.8296 0.5000
0.0435 0.7315 0.1059
0.1222 0.1065 0.3801
0.1660 0.5341 0.5089
0.2685 0.9565 0.8941
0.4249 0.2910 0.8016
0.4567 0.2697 0.3053
0.4659 0.8340 0.4911
0.7090 0.5751 0.1984
0.7151 0.0156 0.0294
0.7303 0.5433 0.6947
0.8935 0.8778 0.6199
0.9844 0.2849 0.9706
```

Results
Energy in eV/atom: -7.441